VASP calculation (SCAN) on a crystal of CdNi2Ag relaxed with PBEsol.

Lattice parameters (Å, degrees): 9.370 2.789 4.509 90.00 108.50 90.00
Space group Cm (No. 8)
One atom of each set of equivalent atoms:
Cd: 0.000 0.000 0.000 x2
Ni: 0.256 0.500 0.203 x2
Ni: 0.468 0.000 0.476 x2
Ag: 0.223 0.000 0.676 x2

## Properties
The formation energy is 19.7 kJ per mole of atoms.

VASP calculation (SCAN) on a crystal of CdNi4Ag relaxed with PBEsol.

Lattice parameters (Å, degrees): 6.732 6.732 6.732 90.00 90.00 90.00
Space group F-43m (No. 216)
One atom of each set of equivalent atoms:
Cd: 0.000 0.000 0.000 x4
Ni: 0.125 0.125 0.625 x16
Ag: 0.250 0.250 0.250 x4

## Properties
The formation energy is 13.7 kJ per mole of atoms.

VASP calculation (SCAN) on a crystal of CdNi2AgRu relaxed with PBEsol.

Lattice parameters (Å, degrees): 4.381 4.381 5.034 90.00 90.00 90.00
Space group P4/mmm (No. 123)
One atom of each set of equivalent atoms:
Cd: 0.000 0.000 0.000 x1
Ni: 0.000 0.500 0.500 x2
Ag: 0.500 0.500 0.000 x1
Ru: 0.000 0.000 0.500 x1

## Properties
The formation energy is 116.2 kJ per mole of atoms.

VASP calculation (SCAN) on a crystal of CdAg2O4 relaxed with PBEsol.

Lattice parameters (Å, degrees): 6.794 9.575 12.616 90.00 90.00 90.00
Space group Fddd (No. 70, origin choice 2)
One atom of each set of equivalent atoms:
Cd: 0.125 0.125 0.125 x8
Ag: 0.125 0.125 0.505 x16
O: 0.088 0.332 0.502 x32

## Properties
As for the energy above the most stable polymorph in this dataset: 42 meV/atom. For the formation energy from raw total energies, the calculation gives -7.71 kcal/mol of atoms.

VASP calculation (SCAN) on a crystal of CdAg2O4 relaxed with PBEsol.

Lattice parameters (Å, degrees): 5.889 5.889 11.481 90.00 90.00 90.00
Space group I4_1/amd (No. 141, origin choice 2)
One atom of each set of equivalent atoms:
Cd: 0.000 0.250 0.375 x4
Ag: 0.000 0.000 0.000 x8
O: 0.000 0.020 0.757 x16

## Properties
As for the energy above the most stable polymorph in this dataset: 0 meV/atom. For the formation energy from raw total energies, the calculation gives -8.68 kcal/mol of atoms.

VASP calculation (SCAN) on a crystal of VCdAgO4 relaxed with PBEsol.

Lattice parameters (Å, degrees): 9.858 6.920 5.416 90.00 90.00 90.00
Space group Pnma (No. 62)
One atom of each set of equivalent atoms:
V: 0.179 0.250 0.009 x4
Cd: 0.000 0.000 0.500 x4
Ag: 0.152 0.750 0.997 x4
O: 0.116 0.050 0.151 x8
O: 0.127 0.250 0.700 x4
O: 0.144 0.750 0.562 x4

## Properties
For the formation energy from raw total energies, the calculation gives -40.38 kcal/mol of atoms.

VASP calculation (SCAN) on a crystal of CdAg2Os relaxed with PBEsol.

Lattice parameters (Å, degrees): 2.702 4.220 5.732 90.00 90.00 90.00
Space group Pmm2 (No. 25)
One atom of each set of equivalent atoms:
Cd: 0.000 0.000 0.000 x1
Ag: 0.000 0.000 0.489 x1
Ag: 0.500 0.500 0.737 x1
Os: 0.500 0.500 0.244 x1

## Properties
The formation energy is 50.7 kJ per mole of atoms.

VASP calculation (SCAN) on a crystal of CdAgOs relaxed with PBEsol.

Lattice parameters (Å, degrees): 6.150 6.150 6.150 90.00 90.00 90.00
Space group F-43m (No. 216)
One atom of each set of equivalent atoms:
Cd: 0.000 0.000 0.000 x4
Ag: 0.250 0.250 0.750 x4
Os: 0.000 0.000 0.500 x4

## Properties
The formation energy is 127.2 kJ per mole of atoms.

VASP calculation (SCAN) on a crystal of CdAg2Os relaxed with PBEsol.

Lattice parameters (Å, degrees): 4.057 4.057 7.967 90.00 90.00 90.00
Space group I4/mmm (No. 139)
One atom of each set of equivalent atoms:
Cd: 0.000 0.000 0.000 x2
Ag: 0.000 0.500 0.250 x4
Os: 0.000 0.000 0.500 x2

## Properties
The formation energy is 68.0 kJ per mole of atoms.

VASP calculation (SCAN) on a crystal of CdAg2Os relaxed with PBEsol.

Lattice parameters (Å, degrees): 2.806 4.816 4.856 90.00 90.00 90.00
Space group Pmmm (No. 47)
One atom of each set of equivalent atoms:
Cd: 0.000 0.000 0.000 x1
Ag: 0.000 0.500 0.500 x1
Ag: 0.500 0.000 0.500 x1
Os: 0.500 0.500 0.000 x1

## Properties
The formation energy is 53.5 kJ per mole of atoms.

VASP calculation (SCAN) on a crystal of CdAgP2 relaxed with PBEsol.

Lattice parameters (Å, degrees): 4.393 3.583 5.091 90.00 105.68 90.00
Space group P2/m (No. 10)
One atom of each set of equivalent atoms:
Cd: 0.000 0.000 0.000 x1
Ag: 0.500 0.000 0.500 x1
P: 0.203 0.500 0.676 x2

## Properties
The formation energy is 12.8 kJ per mole of atoms.

VASP calculation (SCAN) on a crystal of Cd3AgP relaxed with PBEsol.

Lattice parameters (Å, degrees): 4.991 4.991 4.991 90.00 90.00 90.00
Space group Pm-3m (No. 221)
One atom of each set of equivalent atoms:
Cd: 0.000 0.000 0.500 x3
Ag: 0.500 0.500 0.500 x1
P: 0.000 0.000 0.000 x1

## Properties
The formation energy is 48.7 kJ per mole of atoms.

VASP calculation (SCAN) on a crystal of CdAgP2 relaxed with PBEsol.

Lattice parameters (Å, degrees): 5.263 7.310 3.623 90.00 90.00 90.00
Space group Cmmm (No. 65)
One atom of each set of equivalent atoms:
Cd: 0.000 0.000 0.000 x2
Ag: 0.000 0.500 0.000 x2
P: 0.250 0.250 0.500 x4

## Properties
The formation energy is 44.1 kJ per mole of atoms.

VASP calculation (SCAN) on a crystal of CdAgP2 relaxed with PBEsol.

Lattice parameters (Å, degrees): 3.661 4.297 4.385 90.00 90.00 90.00
Space group Pmmm (No. 47)
One atom of each set of equivalent atoms:
Cd: 0.000 0.000 0.000 x1
Ag: 0.500 0.500 0.000 x1
P: 0.000 0.500 0.500 x1
P: 0.500 0.000 0.500 x1

## Properties
The formation energy is 52.2 kJ per mole of atoms.

VASP calculation (SCAN) on a crystal of TaCdAg2P relaxed with PBEsol.

Lattice parameters (Å, degrees): 4.571 4.571 4.692 90.00 90.00 90.00
Space group P4/mmm (No. 123)
One atom of each set of equivalent atoms:
Ta: 0.000 0.000 0.000 x1
Cd: 0.500 0.500 0.000 x1
Ag: 0.000 0.500 0.500 x2
P: 0.000 0.000 0.500 x1

## Properties
The formation energy is 40.1 kJ per mole of atoms.

VASP calculation (SCAN) on a crystal of CdAgPb2 relaxed with PBEsol.

Lattice parameters (Å, degrees): 3.3814 3.3814 29.5462 90.00 90.00 120.00
Space group R-3m (No. 166, hexagonal axes)
One atom of each set of equivalent atoms:
Cd: 0.0000 0.0000 0.0000 x3
Ag: 0.0000 0.0000 0.5000 x3
Pb: 0.0000 0.0000 0.2454 x6

## Properties
The formation energy is 11.7 kJ per mole of atoms.

VASP calculation (SCAN) on a crystal of CdAg2Pb relaxed with PBEsol.

Lattice parameters (Å, degrees): 3.487 3.487 6.803 90.00 90.00 90.00
Space group P4mm (No. 99)
One atom of each set of equivalent atoms:
Cd: 0.000 0.000 0.000 x1
Ag: 0.000 0.000 0.576 x1
Ag: 0.500 0.500 0.783 x1
Pb: 0.500 0.500 0.311 x1

## Properties
The formation energy is 6.6 kJ per mole of atoms.

VASP calculation (SCAN) on a crystal of CdAg2Pb relaxed with PBEsol.

Lattice parameters (Å, degrees): 9.478 3.113 5.724 90.00 101.13 90.00
Space group C2/m (No. 12)
One atom of each set of equivalent atoms:
Cd: 0.000 0.000 0.000 x2
Ag: 0.244 0.500 0.218 x4
Pb: 0.000 0.500 0.500 x2

## Properties
The formation energy is 9.4 kJ per mole of atoms.

VASP calculation (SCAN) on a crystal of CdAg2Pb relaxed with PBEsol.

Lattice parameters (Å, degrees): 3.303 4.916 10.128 90.00 90.00 90.00
Space group Imm2 (No. 44)
One atom of each set of equivalent atoms:
Cd: 0.000 0.000 0.000 x2
Ag: 0.000 0.000 0.533 x2
Ag: 0.000 0.500 0.258 x2
Pb: 0.000 0.500 0.776 x2

## Properties
The formation energy is 9.6 kJ per mole of atoms.

VASP calculation (SCAN) on a crystal of CdAg4Pb relaxed with PBEsol.

Lattice parameters (Å, degrees): 7.765 7.765 7.765 90.00 90.00 90.00
Space group F-43m (No. 216)
One atom of each set of equivalent atoms:
Cd: 0.000 0.000 0.000 x4
Ag: 0.125 0.125 0.375 x16
Pb: 0.250 0.250 0.750 x4

## Properties
The formation energy is 7.5 kJ per mole of atoms.

The records above give, respectively, total magnetic moment values of 0.665; 0.004; 0.002; 0.000; 0.000; 0.000; 0.000; 2.041; 1.354; 0.000; 0.000; 0.000; 0.000; 0.000; 0.000; 0.000; 0.000; 0.000; 0.000; 0.000 μB/f.u..